# 1
First-principles (PBE) data for an optimized crystal structure of CrSiRu2, as listed in Alexandria.

a b c (Å): 4.7575 4.7575 4.7575
angles (deg): 135.24 135.24 65.15
Last column: nearest neighbours and their distance in Å.
Sites, in units of the cell vectors:
Ru1 0.0000 0.0000 0.0000  4 Si 2.56, 4 Cr 2.70, 4 Ru 2.70
Ru2 0.2500 0.7500 0.5000  4 Cr 2.56, 4 Ru 2.70, 4 Si 2.70
Cr1 0.7500 0.2500 0.5000  8 Ru 2.56-2.70, 4 Si 2.70
Si1 0.5000 0.5000 0.0000  8 Ru 2.56-2.70, 4 Cr 2.70

Summary:
Its total magnetization is 0.446 μB per atom. The volume is 13.2 Å³/atom.


# 2
First-principles (PBE) data for an optimized crystal structure of CrSiRu2, as listed in Alexandria.

a b c (Å): 8.1858 8.1858 8.1858
angles (deg): 19.36 19.36 19.36
Last column: nearest neighbours and their distance in Å.
Sites, in units of the cell vectors:
Ru1 0.9985 0.9985 0.9985  3 Si 2.53, 3 Cr 2.59, 6 Ru 2.75
Ru2 0.5015 0.5015 0.5015  3 Si 2.53, 3 Cr 2.59, 6 Ru 2.75
Cr1 0.7500 0.7500 0.7500  6 Ru 2.59, 6 Cr 2.75
Si1 0.2500 0.2500 0.2500  6 Ru 2.53, 6 Si 2.75

Summary:
Its total magnetization is 0.161 μB per atom. The volume is 13.2 Å³/atom.


So what do the calculations give for raw formation energy? Going down the list: -180; -64 meV/atom.
So what do the calculations give for E_tot? Going down the list: -8.580; -8.463 eV per atom.